This record from Alexandria describes Ac3TaBr2O6 after structural relaxation. The functional is PBE-GGA.

Cell: 6.0742 6.9702 7.1085 Å, 119.36 82.00 90.00°
Last column: nearest neighbours and their distance in Å.
Element x y z (fractional)
1 Ta 0.5000 0.0000 0.0000  6 O 1.99-2.11
2 Ac 0.0000 0.5000 0.0000  4 O 2.71, 2 Br 2.99
3 Ac 0.5000 0.5000 0.5000  4 O 2.38-2.51
4 Ac 0.5000 0.0000 0.5000  4 O 2.38-2.51
5 O 0.3120 0.7210 0.8907  1 Ta 2.11
6 O 0.6880 0.2790 0.1093  1 Ta 2.11
7 O 0.3463 0.1540 0.3080  1 Ta 1.99
8 O 0.6880 0.8303 0.1093  1 Ta 2.11
9 O 0.6537 0.8460 0.6920  1 Ta 1.99
10 O 0.3120 0.1697 0.8907  1 Ta 2.11
11 Br 0.0965 0.7295 0.4589  1 O 2.84, 3 Ac 2.99-3.05
12 Br 0.9035 0.2705 0.5411  1 O 2.84, 3 Ac 2.99-3.05

Calculated values
ΔE_f (raw) = -59.6 kcal/mol of atoms
Total energy = -88.28 eV for the cell shown